Entry 1:
Ce2AlGa | PBE | optimized geometry

Calculated values
As for the formation energy: -401 meV/atom. The density of states at the Fermi level is 1.6173 states/eV/atom. As for the space group: P4/mmm, No. 123.

Lattice parameters (Å, degrees): 3.2071 3.2071 8.8408 90.00 90.00 90.00
Fractional positions:
Ce1 0.0000 0.0000 0.7527
Ce2 0.0000 0.0000 0.2473
Al1 0.5000 0.5000 0.5000
Ga1 0.5000 0.5000 0.0000


Entry 2:
Tb2Nd4Dy5 | PBE | optimized geometry

Calculated values
As for the formation energy: 106 meV/atom. The density of states at the Fermi level is 1.4650 states/eV/atom. The energy above the most stable polymorph in this dataset comes out at 0.0000 eV per atom. As for the space group: C2/m, No. 12.

Lattice parameters (Å, degrees): 5.6834 6.6597 10.0284 90.88 106.46 90.00
Fractional positions:
Tb1 0.5977 0.5535 0.1953
Tb2 0.4023 0.4465 0.8047
Nd1 0.3053 0.9259 0.6106
Nd2 0.0199 0.2872 0.0399
Nd3 0.9801 0.7128 0.9601
Nd4 0.6947 0.0741 0.3894
Dy1 0.5000 0.0000 0.0000
Dy2 0.8697 0.1075 0.7395
Dy3 0.7913 0.5982 0.5826
Dy4 0.1303 0.8925 0.2605
Dy5 0.2087 0.4018 0.4174


Entry 3:
NaS | PBE | optimized geometry

Calculated values
Its uncorrected formation energy is -0.73 eV/atom. The energy above the most stable polymorph in this dataset comes out at 0.1016 eV per atom. As for the space group: Imm2, No. 44.

Lattice parameters (Å, degrees): 5.7866 4.3134 7.4980 90.00 90.00 90.00
Fractional positions:
S1 0.8142 0.5000 0.9789
S2 0.3142 0.0000 0.4789
S3 0.1858 0.5000 0.9789
S4 0.6858 0.0000 0.4789
Na1 0.0000 0.0000 0.1827
Na2 0.0000 0.5000 0.6124
Na3 0.5000 0.5000 0.6827
Na4 0.5000 0.0000 0.1124


Entry 4:
MnAgSb2 | PBE | optimized geometry

Calculated values
Its uncorrected formation energy is 0.16 eV/atom. The density of states at the Fermi level is 0.5854 states/eV/atom. As for the space group: Pmm2, No. 25.

Lattice parameters (Å, degrees): 3.0999 4.0375 7.3467 90.00 90.00 90.00
Each line ends with the local moment (μB).
Fractional positions:
Sb1 0.0000 0.0000 0.9177  -0.09
Sb2 0.5000 0.5000 0.3253  -0.04
Ag1 0.0000 0.0000 0.5277  0.00
Mn1 0.5000 0.5000 0.7294  3.64


Entry 5:
LaIn3Ag3 | PBE | optimized geometry

Calculated values
As for the formation energy: 228 meV/atom. The density of states at the Fermi level is 0.9020 states/eV/atom. As for the space group: Pm-3n, No. 223.

Lattice parameters (Å, degrees): 7.5015 7.5015 7.5015 90.00 90.00 90.00
Each line ends with the local moment (μB).
Fractional positions:
In1 0.5000 0.2500 0.0000  0.00
In2 0.5000 0.7500 0.0000  0.00
In3 0.2500 0.0000 0.5000  0.00
In4 0.0000 0.5000 0.2500  0.00
In5 0.7500 0.0000 0.5000  0.00
In6 0.0000 0.5000 0.7500  0.00
Ag1 0.0000 0.2500 0.5000  0.00
Ag2 0.2500 0.5000 0.0000  0.00
Ag3 0.7500 0.5000 0.0000  0.00
Ag4 0.5000 0.0000 0.2500  0.00
Ag5 0.0000 0.7500 0.5000  0.00
Ag6 0.5000 0.0000 0.7500  0.00
La1 0.5000 0.5000 0.5000  0.17
La2 0.0000 0.0000 0.0000  0.17


Entry 6:
ScTlCr2 | PBE | optimized geometry

Calculated values
As for the formation energy: 405 meV/atom. The density of states at the Fermi level is 1.0100 states/eV/atom. As for the space group: P4/mmm, No. 123.

Lattice parameters (Å, degrees): 4.3250 4.3250 4.0176 90.00 90.00 90.00
Each line ends with the local moment (μB).
Fractional positions:
Cr1 0.0000 0.0000 0.0000  3.18
Cr2 0.5000 0.5000 0.0000  3.18
Sc1 0.5000 0.0000 0.5000  -0.13
Tl1 0.0000 0.5000 0.5000  -0.10


Entry 7:
CeSmSc2 | PBE | optimized geometry

Calculated values
As for the formation energy: 86 meV/atom. The density of states at the Fermi level is 1.7110 states/eV/atom. The energy above the most stable polymorph in this dataset comes out at 0.0154 eV per atom. As for the space group: I4/mmm, No. 139.

Lattice parameters (Å, degrees): 5.0008 5.6994 5.6993 127.96 116.02 63.98
Each line ends with the local moment (μB).
Fractional positions:
Ce1 0.1570 0.1571 0.3179  0.39
Sm1 0.6572 0.6571 0.8181  -0.01
Sc1 0.9071 0.9071 0.5682  0.00
Sc2 0.4070 0.4070 0.0678  0.00


Entry 8:
Tl2ZnHgI | PBE | optimized geometry

Calculated values
Its uncorrected formation energy is -0.11 eV/atom. The density of states at the Fermi level is 0.2620 states/eV/atom. The energy above the most stable polymorph in this dataset comes out at 0.0000 eV per atom. As for the space group: P4/mmm, No. 123.

Lattice parameters (Å, degrees): 5.5898 5.5898 5.2934 90.00 90.00 90.00
Fractional positions:
Hg1 0.0000 0.0000 0.5000
Zn1 0.0000 0.0000 0.0000
Tl1 0.5000 0.0000 0.0000
Tl2 0.0000 0.5000 0.0000
I1 0.5000 0.5000 0.5000


Entry 9:
TlS4 | PBE | optimized geometry

Calculated values
Its uncorrected formation energy is 1.27 eV/atom. The density of states at the Fermi level is 0.8491 states/eV/atom. The energy above the most stable polymorph in this dataset comes out at 1.2889 eV per atom. As for the space group: Pm-3m, No. 221.

Lattice parameters (Å, degrees): 5.2766 5.2766 5.2766 90.00 90.00 90.00
Each line ends with the local moment (μB).
Fractional positions:
S1 0.5000 0.5000 0.0000  0.67
S2 0.5000 0.0000 0.5000  0.67
S3 0.0000 0.0000 0.0000  1.25
S4 0.0000 0.5000 0.5000  0.67
Tl1 0.5000 0.5000 0.5000  -0.01


Entry 10:
Y2Cd3 | PBE | optimized geometry

Calculated values
As for the formation energy: -311 meV/atom. The density of states at the Fermi level is 0.9278 states/eV/atom. The energy above the most stable polymorph in this dataset comes out at 0.0000 eV per atom. As for the space group: Cmcm, No. 63.

Lattice parameters (Å, degrees): 3.5286 4.9490 14.7688 90.00 96.86 90.00
Fractional positions:
Y1 0.2855 0.7500 0.5711
Y2 0.5748 0.7500 0.1496
Y3 0.4252 0.2500 0.8504
Y4 0.7145 0.2500 0.4289
Cd1 0.0236 0.2500 0.0473
Cd2 0.1207 0.2500 0.2413
Cd3 0.9764 0.7500 0.9527
Cd4 0.8793 0.7500 0.7587
Cd5 0.1750 0.7500 0.3499
Cd6 0.8250 0.2500 0.6501


Entry 11:
BaAs3 | PBE | optimized geometry

Calculated values
As for the formation energy: -1 meV/atom. The density of states at the Fermi level is 0.9326 states/eV/atom. As for the space group: Pm-3n, No. 223.

Lattice parameters (Å, degrees): 5.9220 5.9220 5.9220 90.00 90.00 90.00
Fractional positions:
As1 0.7500 0.5000 0.0000
As2 0.0000 0.2500 0.5000
As3 0.5000 0.0000 0.2500
As4 0.0000 0.7500 0.5000
As5 0.5000 0.0000 0.7500
As6 0.2500 0.5000 0.0000
Ba1 0.0000 0.0000 0.0000
Ba2 0.5000 0.5000 0.5000


Entry 12:
PuZnCu2 | PBE | optimized geometry

Calculated values
As for the formation energy: -27 meV/atom. The density of states at the Fermi level is 2.8967 states/eV/atom. As for the space group: Cmcm, No. 63.

Lattice parameters (Å, degrees): 4.3425 5.5063 6.3086 90.00 90.00 113.22
Each line ends with the local moment (μB).
Fractional positions:
Pu1 0.0798 0.1597 0.7500  5.31
Pu2 0.9202 0.8403 0.2500  5.31
Zn1 0.2112 0.4225 0.2500  0.04
Zn2 0.7888 0.5775 0.7500  0.04
Cu1 0.3780 0.7559 0.5590  0.01
Cu2 0.3780 0.7559 0.9410  0.01
Cu3 0.6220 0.2441 0.4410  0.01
Cu4 0.6220 0.2441 0.0590  0.01


no.,electronic total energy (eV per cell)
1,-20.2
2,-50.2
3,-27.6
4,-19.6
5,-40.2
6,-26.3
7,-23.0
8,-8.4
9,-12.5
10,-34.5
11,-31.8
12,-47.8